Material: Li2TaP
Method: DFT, GGA-PBE
State: optimized geometry

## Properties
DOS at the Fermi energy ... 3.182 states/eV/f.u.
E ... -5.274 eV per atom
ΔE_f ... 0.00 eV/atom

extended XYZ file:
```
4
Lattice="-1.188 -2.606 3.556 -3.192 -2.909 -1.479 4.124 0.973 -1.700" Properties=species:S:1:pos:R:3 pbc="T T T"
Li 0.000 0.000 0.000
Li 0.374 -2.195 1.446
P -2.190 -2.758 1.038
Ta -0.630 -2.348 -1.070
```

Material: BaPtW
Method: DFT, GGA-PBE
State: optimized geometry

## Properties
Polymorph energy (0 for the lowest one) ... 367 meV/atom
DOS at the Fermi energy ... 3.136 states/eV/f.u.
E ... -6.564 eV per atom
ΔE_f ... 0.41 eV/atom

extended XYZ file:
```
3
Lattice="-5.004 -1.440 4.013 -0.559 -2.711 5.963 2.366 4.433 -4.239" Properties=species:S:1:pos:R:3 pbc="T T T"
W -3.990 -2.977 7.155
Pt -1.595 -1.190 2.860
Ba -5.542 -4.136 9.938
```

Material: MgOsRu
Method: DFT, GGA-PBE
State: optimized geometry

## Properties
Polymorph energy (0 for the lowest one) ... 76 meV/atom
DOS at the Fermi energy ... 2.592 states/eV/f.u.
E ... -7.220 eV per atom
ΔE_f ... 0.15 eV/atom

extended XYZ file:
```
6
Lattice="7.395 -0.009 0.030 0.008 4.479 -0.001 -0.541 0.001 2.747" Properties=species:S:1:pos:R:3 pbc="T T T"
Ru 1.631 3.041 0.858
Ru 0.590 0.779 2.079
Mg 3.248 0.800 1.178
Mg 3.884 3.040 2.729
Os 6.082 0.795 0.311
Os 6.575 3.013 1.834
```

Material: ZnAgCl2
Method: DFT, GGA-PBE
State: optimized geometry

## Properties
Polymorph energy (0 for the lowest one) ... 212 meV/atom
DOS at the Fermi energy ... 2.205 states/eV/f.u.
E ... -2.254 eV per atom
Formation energy from raw total energies ... -0.300 eV per atom

extended XYZ file:
```
4
Lattice="3.985 -0.040 0.018 2.020 3.435 0.018 1.953 1.105 6.385" Properties=species:S:1:pos:R:3 pbc="T T T"
Zn 1.990 1.125 1.605
Ag 5.969 3.375 4.815
Cl 6.003 3.394 0.045
Cl 3.982 2.251 3.200
```

Material: KLiMo
Method: DFT, GGA-PBE
State: optimized geometry

## Properties
Polymorph energy (0 for the lowest one) ... 16 meV/atom
DOS at the Fermi energy ... 3.635 states/eV/f.u.
E ... -3.646 eV per atom
ΔE_f ... 0.97 eV/atom

extended XYZ file:
```
3
Lattice="8.848 0.003 0.000 7.987 3.808 0.000 -8.418 -1.905 1.951" Properties=species:S:1:pos:R:3 pbc="T T T"
K 0.178 0.040 0.000
Li 5.158 1.167 0.000
Mo 11.499 2.603 0.000
```

Material: EuZrRu2
Method: DFT, GGA-PBE
State: optimized geometry

## Properties
DOS at the Fermi energy ... 6.619 states/eV/f.u.
E ... -9.528 eV per atom
ΔE_f ... -0.18 eV/atom

extended XYZ file:
```
4
Lattice="-2.057 0.080 2.608 0.282 -3.295 0.323 5.441 0.883 4.264" Properties=species:S:1:pos:R:3 pbc="T T T"
Eu 1.833 -1.166 3.598
Ru 4.244 0.689 3.326
Ru 1.197 0.194 0.938
Zr -0.888 -1.608 1.466
```

Material: Mg2ReIr
Method: DFT, GGA-PBE
State: optimized geometry

## Properties
Polymorph energy (0 for the lowest one) ... 242 meV/atom
DOS at the Fermi energy ... 3.661 states/eV/f.u.
E ... -5.967 eV per atom
ΔE_f ... 0.16 eV/atom

extended XYZ file:
```
4
Lattice="-4.209 2.624 -1.066 2.267 -2.339 -3.890 -1.529 -2.261 0.469" Properties=species:S:1:pos:R:3 pbc="T T T"
Ir 0.369 -2.300 -1.710
Mg 0.000 0.000 0.000
Mg -0.971 0.143 -2.478
Re -2.869 0.182 -0.298
```

Material: Y2Ga2Cl
Method: DFT, GGA-PBE
State: optimized geometry

## Properties
DOS at the Fermi energy ... 2.401 states/eV/f.u.
E ... -5.034 eV per atom
Formation energy from raw total energies ... -0.868 eV per atom

extended XYZ file:
```
10
Lattice="7.550 0.000 0.000 0.000 7.550 0.000 0.000 0.000 4.282" Properties=species:S:1:pos:R:3 pbc="T T T"
Y 2.432 6.207 0.000
Y 6.207 5.118 0.000
Y 5.118 1.343 0.000
Y 1.343 2.432 0.000
Ga 0.886 4.661 2.141
Ga 4.661 6.664 2.141
Ga 6.664 2.889 2.141
Ga 2.889 0.886 2.141
Cl 0.000 0.000 0.000
Cl 3.775 3.775 0.000
```

Material: BaFeMoP2
Method: DFT, GGA-PBE
State: optimized geometry

## Properties
DOS at the Fermi energy ... 3.192 states/eV/f.u.
E ... -7.095 eV per atom
ΔE_f ... -0.69 eV/atom

extended XYZ file:
```
5
Lattice="-0.719 -2.258 3.129 -1.818 -2.610 -2.301 6.947 -0.686 -1.362" Properties=species:S:1:pos:R:3 pbc="T T T"
Ba 0.000 0.000 0.000
Fe 2.480 -2.689 1.091
Mo 1.931 -2.865 -1.624
P 0.407 -3.354 0.135
P 4.004 -2.200 -0.668
```

Material: Na2NiAg2
Method: DFT, GGA-PBE
State: optimized geometry

## Properties
DOS at the Fermi energy ... 1.958 states/eV/f.u.
E ... -2.598 eV per atom
ΔE_f ... 0.23 eV/atom

extended XYZ file:
```
10
Lattice="-2.810 -2.165 5.618 5.970 -0.199 2.909 -0.562 4.528 1.463" Properties=species:S:1:pos:R:3 pbc="T T T"
Ni 0.000 0.000 0.000
Ni 1.580 -1.182 4.263
Ag 4.105 -0.938 4.477
Ag 1.453 -1.978 6.678
Ag -0.945 -1.426 4.050
Ag 1.708 -0.386 1.849
Na 3.257 1.751 3.678
Na 2.749 0.639 6.923
Na -0.658 0.413 6.313
Na -0.150 1.525 3.067
```

Material: NaLiTl2Pb
Method: DFT, GGA-PBE
State: optimized geometry

## Properties
Polymorph energy (0 for the lowest one) ... 15 meV/atom
DOS at the Fermi energy ... 2.452 states/eV/f.u.
E ... -2.344 eV per atom
ΔE_f ... -0.01 eV/atom

extended XYZ file:
```
5
Lattice="-4.809 0.148 2.117 0.313 -5.137 1.069 2.104 1.106 4.703" Properties=species:S:1:pos:R:3 pbc="T T T"
Pb 1.052 0.553 2.352
Na -1.196 -1.942 3.944
Tl 0.156 -2.569 0.534
Tl -2.404 0.074 1.058
Li 0.000 0.000 0.000
```

Material: VP2Br8
Method: DFT, GGA-PBE
State: optimized geometry

## Properties
DOS at the Fermi energy ... 5.419 states/eV/f.u.
E ... -3.359 eV per atom
Formation energy from raw total energies ... -0.329 eV per atom

extended XYZ file:
```
11
Lattice="8.490 -0.348 1.889 2.736 6.974 0.007 0.768 -1.769 7.239" Properties=species:S:1:pos:R:3 pbc="T T T"
V 0.000 0.000 0.000
P 5.866 0.118 1.740
P 6.127 4.739 7.396
Br 8.072 -0.002 8.000
Br 2.675 -0.677 5.715
Br 9.205 1.034 3.755
Br 2.788 3.823 5.381
Br 9.318 5.534 3.421
Br 3.921 4.859 1.136
Br 4.884 1.535 3.185
Br 7.109 3.322 5.950
```